First-principles (PBE-GGA) data for crystalline Tm5CdTe4 at its relaxed geometry, as listed in Alexandria.

Results
raw total energy	-4.59	eV/atom
SG	No. 87
raw formation energy	-1.001	eV/atom

Lattice parameters (Å, degrees): 7.474 7.474 7.474 99.56 99.56 131.90
Positions (direct):
Tm (0.000, 0.000, 0.000)
Tm (0.214, 0.401, 0.615)
Tm (0.401, 0.786, 0.188)
Tm (0.599, 0.214, 0.812)
Tm (0.786, 0.599, 0.385)
Cd (0.500, 0.500, 0.000)
Te (0.093, 0.694, 0.788)
Te (0.306, 0.093, 0.399)
Te (0.694, 0.907, 0.601)
Te (0.907, 0.306, 0.212)

=====

First-principles (PBE-GGA) data for crystalline Na2Mg at its relaxed geometry, as listed in Alexandria.

Results
raw total energy	-1.10	eV/atom
SG	No. 205
calculated formation energy	307	meV/atom

Lattice parameters (Å, degrees): 7.754 7.754 7.754 90.00 90.00 90.00
Positions (direct):
Na (0.138, 0.138, 0.138)
Na (0.138, 0.362, 0.638)
Na (0.362, 0.638, 0.138)
Na (0.362, 0.862, 0.638)
Na (0.638, 0.138, 0.362)
Na (0.638, 0.362, 0.862)
Na (0.862, 0.638, 0.362)
Na (0.862, 0.862, 0.862)
Mg (0.000, 0.000, 0.500)
Mg (0.000, 0.500, 0.000)
Mg (0.500, 0.000, 0.000)
Mg (0.500, 0.500, 0.500)

=====

What did the first record say?
First-principles (PBE-GGA) data for crystalline Tm5CdTe4 at its relaxed geometry, as listed in Alexandria.

Results
raw total energy	-4.59	eV/atom
SG	No. 87
raw formation energy	-1.001	eV/atom

Lattice parameters (Å, degrees): 7.474 7.474 7.474 99.56 99.56 131.90
Positions (direct):
Tm (0.000, 0.000, 0.000)
Tm (0.214, 0.401, 0.615)
Tm (0.401, 0.786, 0.188)
Tm (0.599, 0.214, 0.812)
Tm (0.786, 0.599, 0.385)
Cd (0.500, 0.500, 0.000)
Te (0.093, 0.694, 0.788)
Te (0.306, 0.093, 0.399)
Te (0.694, 0.907, 0.601)
Te (0.907, 0.306, 0.212)